The following is a GGA-PBE calculation of a geometry-optimized Zn2Fe structure, from the Alexandria database.

Properties
- Fermi-level density of states: 2.79 states/eV/cell
- Calculated formation energy: 0.42 eV per atom
- Total moment: 2.1 μB per cell
- Final energy: -3.253 eV/atom
- Symmetry: Fm-3m

Cell lengths 4.0865, 4.0865, 4.0865 Å; angles 60.00, 60.00, 60.00 degrees
Closest atoms and distances in Å follow each position.
Sites, in units of the cell vectors:
Zn 0.2500 0.2500 0.2500  4 Fe 2.50
Zn 0.7500 0.7500 0.7500  4 Fe 2.50
Fe 0.0000 0.0000 0.0000  8 Zn 2.50



The following is a GGA-PBE calculation of a geometry-optimized Zn5Fe structure, from the Alexandria database.

Properties
- Fermi-level density of states: 2.34 states/eV/cell
- Calculated formation energy: 0.03 eV per atom
- Total moment: 2.0 μB per cell
- Final energy: -2.440 eV/atom
- Symmetry: Amm2

Cell lengths 2.6656, 7.2432, 4.4189 Å; angles 90.00, 90.00, 79.40 degrees
Closest atoms and distances in Å follow each position.
Sites, in units of the cell vectors:
Zn 0.8939 0.2121 0.5000  10 Zn 2.61-2.77, 2 Fe 2.67
Zn 0.5516 0.8969 0.5000  8 Zn 2.61-2.79, 4 Fe 2.69
Zn 0.2234 0.5533 0.5000  12 Zn 2.67-2.79
Zn 0.6592 0.6816 0.0000  2 Fe 2.64, 10 Zn 2.67-2.89
Zn 0.3397 0.3206 0.0000  2 Fe 2.63, 10 Zn 2.67-2.89
Fe 0.9990 0.0021 0.0000  10 Zn 2.63-2.69, 2 Fe 2.67



The following is a GGA-PBE calculation of a geometry-optimized ZnFe structure, from the Alexandria database.

Properties
- Fermi-level density of states: 13.70 states/eV/cell
- Calculated formation energy: 0.06 eV per atom
- Total moment: 17.6 μB per cell
- Final energy: -4.808 eV/atom
- Symmetry: I4/mmm

Cell lengths 8.7966, 8.7966, 2.8190 Å; angles 90.00, 90.00, 90.00 degrees
Closest atoms and distances in Å follow each position.
Sites, in units of the cell vectors:
Fe 0.3424 0.0000 0.5000  4 Fe 2.41, 4 Zn 2.56
Fe 0.0000 0.6576 0.5000  4 Fe 2.41, 4 Zn 2.56
Fe 0.6576 0.0000 0.5000  4 Fe 2.41, 4 Zn 2.56
Fe 0.5000 0.8424 0.0000  4 Fe 2.41, 4 Zn 2.56
Fe 0.5000 0.1576 0.0000  4 Fe 2.41, 4 Zn 2.56
Fe 0.0000 0.3424 0.5000  4 Fe 2.41, 4 Zn 2.56
Fe 0.8424 0.5000 0.0000  4 Fe 2.41, 4 Zn 2.56
Fe 0.1576 0.5000 0.0000  4 Fe 2.41, 4 Zn 2.56
Zn 0.6561 0.6561 0.5000  4 Fe 2.56, 6 Zn 2.73-2.82
Zn 0.8439 0.8439 0.0000  4 Fe 2.56, 6 Zn 2.73-2.82
Zn 0.3439 0.6561 0.5000  4 Fe 2.56, 6 Zn 2.73-2.82
Zn 0.1561 0.1561 0.0000  4 Fe 2.56, 6 Zn 2.73-2.82
Zn 0.3439 0.3439 0.5000  4 Fe 2.56, 6 Zn 2.73-2.82
Zn 0.1561 0.8439 0.0000  4 Fe 2.56, 6 Zn 2.73-2.82
Zn 0.8439 0.1561 0.0000  4 Fe 2.56, 6 Zn 2.73-2.82
Zn 0.6561 0.3439 0.5000  4 Fe 2.56, 6 Zn 2.73-2.82



The following is a GGA-PBE calculation of a geometry-optimized Zn4Fe3 structure, from the Alexandria database.

Properties
- Fermi-level density of states: 5.02 states/eV/cell
- Calculated formation energy: 0.05 eV per atom
- Total moment: 1.5 μB per cell
- Final energy: -4.304 eV/atom
- Symmetry: I4/mmm
- Polymorph energy (0 for the lowest one): 0 meV per atom

Cell lengths 2.8740, 11.2739, 2.8740 Å; angles 97.32, 90.00, 82.68 degrees
Closest atoms and distances in Å follow each position.
Sites, in units of the cell vectors:
Fe 0.7216 0.5569 0.2784  4 Fe 2.39, 4 Zn 2.55
Fe 0.0000 0.0000 0.0000  8 Zn 2.60, 4 Fe 2.87
Fe 0.2784 0.4431 0.7216  4 Fe 2.39, 4 Zn 2.55
Zn 0.1518 0.6964 0.8482  5 Fe 2.55-2.81, 4 Zn 2.67
Zn 0.5734 0.8532 0.4266  4 Fe 2.60, 8 Zn 2.67-2.87
Zn 0.4266 0.1468 0.5734  4 Fe 2.60, 8 Zn 2.67-2.87
Zn 0.8482 0.3036 0.1518  5 Fe 2.55-2.81, 4 Zn 2.67



The following is a GGA-PBE calculation of a geometry-optimized Zn2Fe structure, from the Alexandria database.

Properties
- Fermi-level density of states: 2.98 states/eV/cell
- Calculated formation energy: 0.03 eV per atom
- Total moment: 4.2 μB per cell
- Final energy: -3.636 eV/atom
- Symmetry: Cm

Cell lengths 2.6097, 5.0968, 6.3792 Å; angles 75.61, 90.00, 104.83 degrees
Closest atoms and distances in Å follow each position.
Sites, in units of the cell vectors:
Zn 0.3889 0.7777 0.7262  7 Zn 2.61-2.70, 5 Fe 2.61-2.69
Zn 0.7217 0.4435 0.0449  4 Fe 2.59-2.70, 8 Zn 2.61-2.72
Zn 0.0597 0.1195 0.3883  9 Zn 2.61-2.70, 3 Fe 2.63-2.69
Zn 0.3337 0.6675 0.3348  8 Zn 2.61-2.72, 4 Fe 2.68-2.72
Fe 0.0018 0.0036 0.9993  8 Zn 2.61-2.70, 4 Fe 2.61
Fe 0.6608 0.3216 0.6731  8 Zn 2.59-2.72, 4 Fe 2.61



The following is a GGA-PBE calculation of a geometry-optimized ZnFe structure, from the Alexandria database.

Properties
- Fermi-level density of states: 3.11 states/eV/cell
- Calculated formation energy: 0.08 eV per atom
- Total moment: 4.4 μB per cell
- Final energy: -4.792 eV/atom
- Symmetry: Fd-3m

Cell lengths 4.1516, 4.1516, 4.1516 Å; angles 60.00, 60.00, 60.00 degrees
Closest atoms and distances in Å follow each position.
Sites, in units of the cell vectors:
Zn 0.5000 0.5000 0.5000  4 Zn 2.54, 4 Fe 2.54
Zn 0.7500 0.7500 0.7500  4 Zn 2.54, 4 Fe 2.54
Fe 0.0000 0.0000 0.0000  4 Zn 2.54, 4 Fe 2.54
Fe 0.2500 0.2500 0.2500  4 Zn 2.54, 4 Fe 2.54